[1]
Compound: NbTe2IF
Source: Alexandria via LeMat-Bulk
Functional: GGA-PBEsol
Structure: optimized geometry

Cell lengths 4.6196, 4.6196, 5.7417 Å; angles 90.00, 90.00, 90.00 degrees
Fractional positions:
Nb 0.0000 0.0000 0.0000
Te 0.0000 0.5000 0.5000
Te 0.5000 0.0000 0.5000
I 0.5000 0.5000 0.0000
F 0.5000 0.5000 0.5000

## Properties
VASP energy = -3.95 eV/atom
excess energy over the best structure of this formula in the dataset = 445 meV/atom
E_form (uncorrected) = 1.80 eV per formula unit
theoretical density = 6.7 g/cm³

=====

[2]
Compound: NbTe2IF
Source: Alexandria via LeMat-Bulk
Functional: GGA-PBEsol
Structure: optimized geometry

Cell lengths 5.2723, 5.2723, 5.4156 Å; angles 90.00, 90.00, 90.00 degrees
Fractional positions:
Nb 0.0000 0.0000 0.0000
Te 0.0000 0.5000 0.0000
Te 0.5000 0.0000 0.0000
I 0.0000 0.0000 0.5000
F 0.5000 0.5000 0.5000

## Properties
VASP energy = -4.40 eV/atom
excess energy over the best structure of this formula in the dataset = 0 meV/atom
E_form (uncorrected) = -0.42 eV per formula unit
theoretical density = 5.4 g/cm³

=====

[3]
Compound: TiNbIF2
Source: Alexandria via LeMat-Bulk
Functional: GGA-PBEsol
Structure: optimized geometry

Cell lengths 4.0979, 4.0979, 5.2540 Å; angles 90.00, 90.00, 90.00 degrees
Fractional positions:
Ti 0.0000 0.0000 0.0000
Nb 0.0000 0.0000 0.5000
I 0.5000 0.5000 0.0000
F 0.0000 0.5000 0.5000
F 0.5000 0.0000 0.5000

## Properties
VASP energy = -6.16 eV/atom
E_form (uncorrected) = -6.04 eV per formula unit
theoretical density = 5.8 g/cm³

=====

[4]
Compound: NiIOF2
Source: Alexandria via LeMat-Bulk
Functional: GGA-PBEsol
Structure: optimized geometry

Cell lengths 3.6092, 3.6092, 5.3275 Å; angles 90.00, 90.00, 90.00 degrees
Fractional positions:
Ni 0.0000 0.0000 0.0000
I 0.5000 0.5000 0.5000
O 0.0000 0.0000 0.5000
F 0.0000 0.5000 0.0000
F 0.5000 0.0000 0.0000

## Properties
VASP energy = -4.01 eV/atom
E_form (uncorrected) = -3.01 eV per formula unit
theoretical density = 5.7 g/cm³

=====

[5]
Compound: NiTe2IF
Source: Alexandria via LeMat-Bulk
Functional: GGA-PBEsol
Structure: optimized geometry

Cell lengths 5.8423, 5.8423, 4.5717 Å; angles 90.00, 90.00, 90.00 degrees
Fractional positions:
Ni 0.0000 0.0000 0.0000
Te 0.0000 0.5000 0.5000
Te 0.5000 0.0000 0.5000
I 0.0000 0.0000 0.5000
F 0.5000 0.5000 0.0000

## Properties
VASP energy = -2.49 eV/atom
E_form (uncorrected) = 4.43 eV per formula unit
theoretical density = 4.9 g/cm³

=====

[6]
Compound: IOF3
Source: Alexandria via LeMat-Bulk
Functional: GGA-PBEsol
Structure: optimized geometry

Cell lengths 4.0001, 4.0001, 4.0001 Å; angles 90.00, 90.00, 90.00 degrees
Fractional positions:
I 0.0000 0.0000 0.0000
O 0.5000 0.5000 0.5000
F 0.0000 0.5000 0.5000
F 0.5000 0.0000 0.5000
F 0.5000 0.5000 0.0000

## Properties
VASP energy = -2.23 eV/atom
excess energy over the best structure of this formula in the dataset = 1620 meV/atom
E_form (uncorrected) = 1.65 eV per formula unit
theoretical density = 5.2 g/cm³